Record 1
Material: ZrScSe2
Method: DFT, PBE
State: optimized geometry

Properties
Polymorph energy (0 for the lowest one) (eV/atom): 0.190
E_tot (eV/atom): -6.688
Formation energy without anion corrections (eV per atom): -1.23

Lattice parameters (Å, degrees): 3.3766 3.3766 6.7295 90.00 90.00 90.00
Fractional positions:
Zr1 0.0000 0.0000 0.0000
Sc1 0.0000 0.0000 0.5000
Se1 0.5000 0.5000 0.2452
Se2 0.5000 0.5000 0.7548

=====

Record 2
Material: Np2GaRu
Method: DFT, PBE
State: optimized geometry

Properties
ΔH_f (0 K) (eV/atom): -0.01
Polymorph energy (0 for the lowest one) (eV/atom): 0.000
E_tot (eV/atom): -9.561

Lattice parameters (Å, degrees): 3.7391 3.7391 5.6346 90.00 90.00 90.00
Fractional positions:
Np1 0.0000 0.0000 0.2498
Np2 0.0000 0.0000 0.7502
Ga1 0.5000 0.5000 0.0000
Ru1 0.5000 0.5000 0.5000

=====

Record 3
Material: HfZn2Ni2
Method: DFT, PBE
State: optimized geometry

Properties
ΔH_f (0 K) (eV/atom): -0.26
Polymorph energy (0 for the lowest one) (eV/atom): 0.000
E_tot (eV/atom): -5.074

Lattice parameters (Å, degrees): 3.5325 3.5325 11.8008 90.00 90.00 90.00
Fractional positions:
Hf1 0.0000 0.0000 0.0000
Hf2 0.5000 0.5000 0.5000
Zn1 0.0000 0.5000 0.2500
Zn2 0.0000 0.5000 0.7500
Zn3 0.5000 0.0000 0.2500
Zn4 0.5000 0.0000 0.7500
Ni1 0.0000 0.0000 0.4019
Ni2 0.0000 0.0000 0.5981
Ni3 0.5000 0.5000 0.0981
Ni4 0.5000 0.5000 0.9019

=====

Record 4
Material: Ca2MgTa
Method: DFT, PBE
State: optimized geometry

Properties
ΔH_f (0 K) (eV/atom): 0.53
E_tot (eV/atom): -3.832

Lattice parameters (Å, degrees): 12.2203 3.2080 5.8504 90.00 108.89 90.00
Fractional positions:
Ca1 0.0000 0.0000 0.0000
Ca2 0.2069 0.0000 0.6166
Ca3 0.5000 0.5000 0.0000
Ca4 0.7069 0.5000 0.6166
Mg1 0.2606 0.5000 0.1596
Mg2 0.7606 0.0000 0.1596
Ta1 0.4546 0.0000 0.4711
Ta2 0.9546 0.5000 0.4711

=====

Record 5
Material: ZrCdBi2H
Method: DFT, PBE
State: optimized geometry

Properties
E_tot (eV/atom): -3.390

Lattice parameters (Å, degrees): 5.6398 5.6398 5.8963 90.00 90.00 90.00
Fractional positions:
Zr1 0.0000 0.0000 0.0000
Cd1 0.0000 0.0000 0.5000
Bi1 0.0000 0.5000 0.0000
Bi2 0.5000 0.0000 0.0000
H1 0.5000 0.5000 0.5000

=====

Record 6
Material: CrBr
Method: DFT, PBE
State: optimized geometry

Properties
E_tot (eV/atom): -5.294
Formation energy without anion corrections (eV per atom): 0.35

Lattice parameters (Å, degrees): 7.7361 7.7361 7.7361 90.00 90.00 90.00
Fractional positions:
Cr1 0.1011 0.1011 0.1011
Cr2 0.1011 0.8989 0.8989
Cr3 0.3989 0.3989 0.6011
Cr4 0.3989 0.6011 0.3989
Cr5 0.6011 0.3989 0.3989
Cr6 0.6011 0.6011 0.6011
Cr7 0.8989 0.1011 0.8989
Cr8 0.8989 0.8989 0.1011
Br1 0.2069 0.2069 0.7931
Br2 0.2069 0.7931 0.2069
Br3 0.2931 0.2931 0.2931
Br4 0.2931 0.7069 0.7069
Br5 0.7069 0.2931 0.7069
Br6 0.7069 0.7069 0.2931
Br7 0.7931 0.2069 0.2069
Br8 0.7931 0.7931 0.7931

=====

Record 7
Material: CaTb3Nd4S8
Method: DFT, PBE
State: optimized geometry

Properties
E_tot (eV/atom): -6.275
Formation energy without anion corrections (eV per atom): -2.03

Lattice parameters (Å, degrees): 8.0530 8.0530 8.0530 59.44 59.44 59.44
Fractional positions:
Ca1 0.0000 0.0000 0.0000
Tb1 0.0000 0.5000 0.5000
Tb2 0.5000 0.0000 0.5000
Tb3 0.5000 0.5000 0.0000
Nd1 0.0000 0.0000 0.5000
Nd2 0.0000 0.5000 0.0000
Nd3 0.5000 0.0000 0.0000
Nd4 0.5000 0.5000 0.5000
S1 0.2460 0.2460 0.7449
S2 0.2460 0.7449 0.2460
S3 0.2546 0.2546 0.2546
S4 0.2551 0.7540 0.7540
S5 0.7449 0.2460 0.2460
S6 0.7454 0.7454 0.7454
S7 0.7540 0.2551 0.7540
S8 0.7540 0.7540 0.2551

=====

DOS at the Fermi energy, record by record: 2.57; 10.09; 5.72; 7.81; 2.85; 16.07; 7.62 states/eV/cell